[1]
Crystalline Cs2NaIn3Sn4 at its relaxed geometry. Source: Alexandria, functional PBE-GGA.

Cell and atoms, written as extended XYZ:
```
10
Lattice="-0.315 3.561 3.856 -2.871 -3.350 2.860 10.383 -4.570 5.069" Properties=species:S:1:pos:R:3 pbc="T T T"
Sn 2.366 -3.348 3.286
Sn -1.593 0.105 3.358
Sn 0.000 0.000 0.000
Sn 6.424 -1.116 5.141
In 8.889 -2.201 6.344
In 5.192 -2.285 2.534
In -0.099 -2.264 2.083
Cs 2.415 0.648 3.184
Cs 6.375 -5.113 5.243
Na 3.599 -2.179 5.892
```

Output
Symmetry = P-4m2, No. 115
Uncorrected energy = -28.72 eV/cell

---

[2]
Crystalline MgIn3Bi at its relaxed geometry. Source: Alexandria, functional PBE-GGA.

Cell and atoms, written as extended XYZ:
```
10
Lattice="4.427 0.044 -0.013 2.259 5.563 0.176 -0.034 0.388 11.170" Properties=species:S:1:pos:R:3 pbc="T T T"
In 4.455 3.950 0.668
In 2.248 2.964 2.801
In 2.197 2.046 10.666
In 2.221 4.092 6.236
In 4.431 1.903 5.097
In 4.404 3.031 8.532
Bi 4.471 5.360 3.778
Bi 2.180 0.635 7.555
Mg 2.224 5.281 9.788
Mg 4.428 0.714 1.545
```

Output
E above lowest polymorph = 0.00 eV/f.u.
Symmetry = P-1, No. 2
Uncorrected energy = -27.52 eV/cell

---

[3]
Crystalline B5C7 at its relaxed geometry. Source: Alexandria, functional PBE-GGA.

Cell and atoms, written as extended XYZ:
```
12
Lattice="-2.508 0.776 -3.501 -1.068 -1.372 -4.016 -3.291 -3.786 6.591" Properties=species:S:1:pos:R:3 pbc="T T T"
C -2.948 -2.815 3.500
C -3.125 -0.609 -6.195
C -4.702 -2.539 -2.554
C -1.387 -0.934 0.017
C -5.104 -3.516 0.397
C -0.107 -0.044 -0.115
C -5.209 -2.534 -3.992
B -1.815 -0.796 -1.754
B -3.107 -2.550 1.948
B -4.940 -3.777 1.945
B -2.929 -1.750 -0.890
B -3.366 -1.584 -2.805
```

Output
E above lowest polymorph = 1.13 eV/f.u.
Symmetry = Cm, No. 8
Uncorrected energy = -93.73 eV/cell

---

[4]
Crystalline TaGaPS2 at its relaxed geometry. Source: Alexandria, functional PBE-GGA.

Cell and atoms, written as extended XYZ:
```
5
Lattice="-1.838 4.431 -0.122 -1.825 -0.636 4.392 4.144 1.774 1.978" Properties=species:S:1:pos:R:3 pbc="T T T"
Ga 0.240 2.784 3.124
S -0.912 -0.318 2.196
S -0.919 2.215 -0.061
P 2.072 0.887 0.989
Ta 0.000 0.000 0.000
```

Output
E above lowest polymorph = 0.00 eV/f.u.
Raw formation energy = -4.0 kcal/mol of atoms
Symmetry = P4/mmm, No. 123
Uncorrected energy = -29.41 eV/cell

---

[5]
Crystalline Cs2K2Au at its relaxed geometry. Source: Alexandria, functional PBE-GGA.

Cell and atoms, written as extended XYZ:
```
10
Lattice="-6.493 6.702 1.659 -1.308 -3.430 8.738 5.911 5.020 2.856" Properties=species:S:1:pos:R:3 pbc="T T T"
Au 0.000 0.000 0.000
Au -3.901 1.636 5.198
Cs -3.197 -0.649 7.758
Cs -4.604 3.920 2.639
Cs -1.556 0.048 3.137
Cs -6.245 3.223 7.260
K 0.597 4.127 3.469
K 0.966 1.355 7.576
K -2.856 6.937 5.676
K -2.486 4.165 9.784
```

Output
E above lowest polymorph = 0.57 eV/f.u.
Symmetry = P4/mbm, No. 127
Uncorrected energy = -14.48 eV/cell

---

[6]
Crystalline LaAgGe2 at its relaxed geometry. Source: Alexandria, functional PBE-GGA.

Cell and atoms, written as extended XYZ:
```
16
Lattice="-2.496 3.176 1.008 1.412 -1.333 7.699 8.461 6.771 -0.379" Properties=species:S:1:pos:R:3 pbc="T T T"
La 0.488 2.145 7.349
La 6.889 6.469 0.978
La 5.647 4.244 4.915
La 1.730 4.370 3.412
Ag 0.913 0.815 3.992
Ag 4.161 2.183 7.727
Ag 3.216 6.430 0.600
Ag 6.464 7.798 4.336
Ge 1.193 1.858 1.401
Ge 4.517 4.306 1.916
Ge 4.434 6.587 3.124
Ge 6.184 6.756 6.927
Ge -0.945 2.493 2.701
Ge 2.861 4.307 6.411
Ge 8.323 6.120 5.627
Ge 2.943 2.027 5.203
```

Output
Symmetry = Pnma, No. 62
Uncorrected energy = -76.46 eV/cell

---

Which of these has the highest uncorrected energy?
Cs2K2Au